DFT (PBE-GGA) results for an optimized crystal structure of CeErTlIr. Values from VASP.

Structure (Quantum ESPRESSO input):
```
&SYSTEM
  ibrav = 0, nat = 4, ntyp = 4
/
ATOMIC_SPECIES
Er 167.26 Er.upf
Ir 192.22 Ir.upf
Ce 140.12 Ce.upf
Tl 204.38 Tl.upf
ATOMIC_POSITIONS crystal
Er 0.500 0.500 0.364
Ir 0.000 0.000 0.563
Ce 0.500 0.500 0.778
Tl 0.000 0.000 0.079
CELL_PARAMETERS angstrom
3.448 0.000 0.000
0.000 3.448 0.000
0.000 0.000 8.182
```

Results
size of the total moment: 0.182 μB/atom
E above lowest polymorph: 0.00 eV per formula unit
DOS at the Fermi energy: 5.5 states/eV/cell
ΔE_f: -0.57 eV/atom